[1]
The following is a DFT calculation (PBE) of a relaxed AcTmBi2 crystal.

It has space group P6_3/mmc (No. 194), with a = 4.6328 Å, b = 4.6328 Å, c = 15.3324 Å, α = 90.00°, β = 90.00° and γ = 120.00°. The inequivalent atoms are Ac at (0.3333, 0.6667, 0.2500), Tm at (0.0000, 0.0000, 0.0000) and Bi at (0.3333, 0.6667, 0.6103).

The value obtained for the formation energy is -0.84 eV/atom.

=====

[2]
The following is a DFT calculation (PBE) of a relaxed AcTm3Bi3 crystal.

It has space group R-3 (No. 148, hexagonal axes), with a = 8.6813 Å, b = 8.6813 Å, c = 24.6672 Å, α = 90.00°, β = 90.00° and γ = 120.00°. The inequivalent atoms are Ac at (0.0000, 0.0000, 0.1653), Tm at (0.0087, 0.7510, 0.6200) and Bi at (0.0052, 0.6086, 0.4136).

The value obtained for the formation energy is -0.46 eV/atom.

=====

[3]
The following is a DFT calculation (PBE) of a relaxed AcTmBi crystal.

It has space group Cmcm (No. 63), with a = 4.303 Å, b = 14.387 Å, c = 6.804 Å, α = 90.00°, β = 90.00° and γ = 90.00°. The inequivalent atoms are Ac at (0.000, 0.000, 0.000), Tm at (0.000, 0.307, 0.250) and Bi at (0.000, 0.346, 0.750).

The value obtained for the formation energy is -0.45 eV/atom.

=====

In order of appearance, E_tot = -4.924 -4.629 -4.600 eV per atom.
In order of appearance, magnetic moment = 0.0 1.3 0.1 μB per formula unit.